[1]
PBE-GGA Dy3CdRu, optimized geometry; N(E_F) = 0.673 states/eV per atom; symmetry = No. 2; energy of formation = -0.351 eV per atom
1.0
5.562 0.000 0.000
-2.495 5.695 0.000
-1.535 -2.838 8.080
Dy Cd Ru
6 2 2
Direct
0.056 0.191 0.273
0.283 0.418 0.727
0.301 0.802 0.103
0.699 0.198 0.897
0.717 0.582 0.273
0.944 0.809 0.727
0.347 0.763 0.500
0.653 0.237 0.500
0.249 0.249 0.999
0.751 0.751 0.001

=====

[2]
PBE-GGA Ca2TiTl, optimized geometry; N(E_F) = 0.904 states/eV per atom; symmetry = No. 122; offset from the most stable computed form = 0.234 eV per atom; energy of formation = 0.408 eV per atom
1.0
-4.318 4.318 3.183
4.318 -4.318 3.183
4.318 4.318 -3.183
Ca Ti Tl
4 2 2
Direct
0.113 0.625 0.988
0.375 0.363 0.488
0.637 0.125 0.012
0.875 0.887 0.512
0.250 0.750 0.500
0.500 0.500 0.000
0.000 0.000 0.000
0.750 0.250 0.500

=====

no.,E_tot (eV/atom)
1,-5.150
2,-3.158